VASP calculation (PBE) on a geometry-optimized BaPa4O12 structure.

Lattice parameters (Å, degrees): 8.6731 8.6731 8.6731 90.00 90.00 90.00
Space group Im-3 (No. 204)
Unique sites:
Ba 0.0000 0.0000 0.0000 x2
Pa 0.2500 0.2500 0.2500 x8
O 0.0000 0.2371 0.2387 x24

Total magnetic moment = 0.12 μB per atom
Uncorrected energy = -8.494 eV/atom